Density functional theory data (PBE) for a relaxed Zr2ScGa2 crystal.

```
10
Lattice="7.268 0.000 0.000 0.000 7.268 0.000 0.000 0.000 3.825" Properties=species:S:1:pos:R:3 pbc="T T T"
Zr 1.266 2.368 0.000
Zr 2.368 6.002 0.000
Zr 4.900 1.266 0.000
Zr 6.002 4.900 0.000
Sc 0.000 0.000 1.912
Sc 3.634 3.634 1.912
Ga 0.907 4.541 1.912
Ga 2.727 0.907 1.912
Ga 4.541 6.361 1.912
Ga 6.361 2.727 1.912
```

## Properties
Crystal system   tetragonal
DFT formation energy   -0.546 eV per atom
Energy above the lowest structure with this stoichiometry   0 meV/atom

=====

Density functional theory data (PBE) for a relaxed PmGa2Co2 crystal.

```
5
Lattice="-2.054 2.054 4.977 2.054 -2.054 4.977 2.054 2.054 -4.977" Properties=species:S:1:pos:R:3 pbc="T T T"
Pm 0.000 0.000 0.000
Ga 0.000 0.000 3.649
Ga 0.000 0.000 6.304
Co 2.054 0.000 2.488
Co 0.000 2.054 2.488
```

## Properties
Crystal system   tetragonal
DFT formation energy   -0.404 eV per atom

=====

Density functional theory data (PBE) for a relaxed CaIn2Co crystal.

```
4
Lattice="0.000 3.503 3.503 3.503 0.000 3.503 3.503 3.503 0.000" Properties=species:S:1:pos:R:3 pbc="T T T"
Ca 0.000 0.000 0.000
In 3.503 3.503 3.503
In 5.254 5.254 5.254
Co 1.751 1.751 1.751
```

## Properties
Crystal system   cubic
DFT formation energy   0.132 eV per atom

=====

Density functional theory data (PBE) for a relaxed La3TbTl3 crystal.

```
14
Lattice="4.269 -5.533 0.000 4.269 5.533 0.000 -0.350 0.000 9.865" Properties=species:S:1:pos:R:3 pbc="T T T"
La 4.269 3.562 0.000
La 4.094 2.839 4.933
La 3.408 0.000 1.793
La 4.781 0.000 8.072
La 4.094 -2.839 4.933
La 4.269 -3.562 0.000
Tb 2.160 0.000 5.391
Tb 6.029 0.000 4.474
Tl 0.185 0.000 2.696
Tl 2.009 2.308 7.545
Tl 2.009 -2.308 7.545
Tl 6.179 2.308 2.321
Tl 6.179 -2.308 2.321
Tl 8.003 0.000 7.169
```

## Properties
Crystal system   monoclinic
DFT formation energy   -0.238 eV per atom
Energy above the lowest structure with this stoichiometry   69 meV/atom

=====

Density functional theory data (PBE) for a relaxed Tl2H2SeCl2 crystal.

```
7
Lattice="4.428 0.000 0.000 1.084 6.540 0.000 1.049 1.752 6.722" Properties=species:S:1:pos:R:3 pbc="T T T"
Tl 0.549 2.072 1.790
Tl 6.012 6.220 4.932
H 3.264 3.541 5.548
H 3.296 4.751 1.174
Se 2.756 3.270 0.000
Cl 2.720 2.543 4.693
Cl 3.841 5.748 2.029
```

## Properties
Crystal system   triclinic
DFT total energy   -21.8 eV for the cell shown

=====

Density functional theory data (PBE) for a relaxed CoRuPt2 crystal.

```
4
Lattice="0.000 3.083 3.083 3.083 0.000 3.083 3.083 3.083 0.000" Properties=species:S:1:pos:R:3 pbc="T T T"
Co 0.000 0.000 0.000
Ru 1.542 1.542 1.542
Pt 3.083 3.083 3.083
Pt 4.625 4.625 4.625
```

## Properties
Crystal system   cubic
DFT formation energy   0.249 eV per atom
Energy above the lowest structure with this stoichiometry   246 meV/atom